First-principles (GGA-PBE) data for a geometry-optimized SrTl2Co structure, as listed in the Alexandria database.

DFT formation energy = 122 kJ/mol of formula units
Symmetry = No. 119

a = 4.855 Å, b = 4.855 Å, c = 8.814 Å
α = 90.00°, β = 90.00°, γ = 90.00°
Fractional positions:
Sr 0.000 0.000 0.000
Sr 0.500 0.500 0.500
Tl 0.000 0.000 0.500
Tl 0.000 0.500 0.750
Tl 0.500 0.000 0.250
Tl 0.500 0.500 0.000
Co 0.000 0.500 0.250
Co 0.500 0.000 0.750

---

First-principles (GGA-PBE) data for a geometry-optimized SrTl2Co structure, as listed in the Alexandria database.

DFT formation energy = 93 kJ/mol of formula units
Symmetry = No. 99

a = 3.661 Å, b = 3.661 Å, c = 7.759 Å
α = 90.00°, β = 90.00°, γ = 90.00°
Fractional positions:
Sr 0.000 0.000 0.000
Tl 0.000 0.000 0.591
Tl 0.500 0.500 0.322
Co 0.500 0.500 0.712

---

First-principles (GGA-PBE) data for a geometry-optimized SrTl2Co structure, as listed in the Alexandria database.

DFT formation energy = 74 kJ/mol of formula units
Symmetry = No. 10

a = 4.023 Å, b = 4.412 Å, c = 6.336 Å
α = 90.00°, β = 106.44°, γ = 90.00°
Fractional positions:
Sr 0.000 0.000 0.000
Tl 0.346 0.500 0.702
Tl 0.654 0.500 0.298
Co 0.500 0.000 0.500

---

First-principles (GGA-PBE) data for a geometry-optimized SrTlCo2 structure, as listed in the Alexandria database.

DFT formation energy = 113 kJ/mol of formula units
Symmetry = No. 38
Relative energy among the computed polymorphs = 159.0 meV/atom

a = 3.949 Å, b = 4.303 Å, c = 10.115 Å
α = 90.00°, β = 90.00°, γ = 90.00°
Fractional positions:
Sr 0.000 0.000 0.000
Sr 0.000 0.500 0.500
Tl 0.500 0.000 0.297
Tl 0.500 0.500 0.797
Co 0.000 0.000 0.711
Co 0.000 0.500 0.211
Co 0.500 0.000 0.610
Co 0.500 0.500 0.110

---

First-principles (GGA-PBE) data for a geometry-optimized Sr3TlCo structure, as listed in the Alexandria database.

DFT formation energy = 70 kJ/mol of formula units
Symmetry = No. 221
Relative energy among the computed polymorphs = 0.0 meV/atom

a = 5.689 Å, b = 5.689 Å, c = 5.689 Å
α = 90.00°, β = 90.00°, γ = 90.00°
Fractional positions:
Sr 0.000 0.000 0.500
Sr 0.000 0.500 0.000
Sr 0.500 0.000 0.000
Tl 0.500 0.500 0.500
Co 0.000 0.000 0.000

---

First-principles (GGA-PBE) data for a geometry-optimized SrTlCo3 structure, as listed in the Alexandria database.

DFT formation energy = 533 kJ/mol of formula units
Symmetry = No. 221
Relative energy among the computed polymorphs = 0.0 meV/atom

a = 4.931 Å, b = 4.931 Å, c = 4.931 Å
α = 90.00°, β = 90.00°, γ = 90.00°
Fractional positions:
Sr 0.000 0.000 0.000
Tl 0.500 0.500 0.500
Co 0.000 0.500 0.500
Co 0.500 0.000 0.500
Co 0.500 0.500 0.000

---

First-principles (GGA-PBE) data for a geometry-optimized SrTlCo2 structure, as listed in the Alexandria database.

DFT formation energy = 255 kJ/mol of formula units
Symmetry = No. 119
Relative energy among the computed polymorphs = 526.4 meV/atom

a = 4.359 Å, b = 4.359 Å, c = 8.646 Å
α = 90.00°, β = 90.00°, γ = 90.00°
Fractional positions:
Sr 0.000 0.000 0.000
Sr 0.500 0.500 0.500
Tl 0.000 0.500 0.750
Tl 0.500 0.000 0.250
Co 0.000 0.000 0.500
Co 0.000 0.500 0.250
Co 0.500 0.000 0.750
Co 0.500 0.500 0.000

---

First-principles (GGA-PBE) data for a geometry-optimized SrTl2Co2 structure, as listed in the Alexandria database.

DFT formation energy = 186 kJ/mol of formula units
Symmetry = No. 127
Relative energy among the computed polymorphs = 171.7 meV/atom

a = 7.758 Å, b = 7.758 Å, c = 3.325 Å
α = 90.00°, β = 90.00°, γ = 90.00°
Fractional positions:
Sr 0.000 0.000 0.000
Sr 0.500 0.500 0.000
Tl 0.158 0.342 0.500
Tl 0.342 0.842 0.500
Tl 0.658 0.158 0.500
Tl 0.842 0.658 0.500
Co 0.129 0.629 0.000
Co 0.371 0.129 0.000
Co 0.629 0.871 0.000
Co 0.871 0.371 0.000

---

no.,total moment (μB per cell)
1,2.7
2,0.9
3,1.3
4,4.7
5,0.0
6,4.7
7,5.7
8,1.0